Cs2RbCeCl6: relaxed, GGA-PBEsol.

Values from the calculation:
**Total magnetization**: 0.10 μB/atom
**Symmetry**: No. 225
**Mass density**: 3038 kg/m3
**Total DFT energy (no corrections)**: -4.1897 eV/atom
**Crystal system**: cubic

Lattice parameters (Å, degrees): 8.1647 8.1647 8.1647 60.00 60.00 60.00
Last column: nearest neighbours and their distance in Å.
Fractional coordinates of all 10 atoms:
Cs1 0.2500 0.2500 0.2500  12 Cl 4.09
Cs2 0.7500 0.7500 0.7500  12 Cl 4.09
Rb1 0.0000 0.0000 0.0000  6 Cl 3.06
Ce1 0.5000 0.5000 0.5000  6 Cl 2.71
Cl1 0.2651 0.2651 0.7349  1 Ce 2.71
Cl2 0.2651 0.7349 0.2651  1 Ce 2.71
Cl3 0.2651 0.7349 0.7349  1 Ce 2.71
Cl4 0.7349 0.2651 0.2651  1 Ce 2.71
Cl5 0.7349 0.2651 0.7349  1 Ce 2.71
Cl6 0.7349 0.7349 0.2651  1 Ce 2.71